## LaSeBr2Cl (GGA-PBE)

Data for LaSeBr2Cl after structural relaxation.

abc: 5.291 5.291 5.321
angles: 90.00 90.00 90.00
Each line ends with the local moment (μB).
Atoms (fractional coordinates):
1 Cl 0.000 0.000 0.000  0.23
2 Se 0.000 0.000 0.500  -0.02
3 Br 0.000 0.500 0.000  0.12
4 Br 0.500 0.000 0.000  0.12
5 La 0.500 0.500 0.500  0.26

## Properties
As for the volume: 29.79 Å³/atom. The calculation puts the formation energy without anion corrections at -1.72 eV per formula unit.